1.
Density functional theory data (PBE-GGA) for an optimized crystal structure of Pr2NdRuO8.

CIF file:
```
data_Pr2NdRuO8
_cell_length_a 4.753
_cell_length_b 5.350
_cell_length_c 7.119
_cell_angle_alpha 92.22
_cell_angle_beta 90.70
_cell_angle_gamma 91.36
_symmetry_space_group_name_H-M 'P -1'
_symmetry_Int_Tables_number 2
loop_
_symmetry_equiv_pos_as_xyz
'x,y,z'
'-x,-y,-z'
loop_
_atom_site_label
_atom_site_fract_x
_atom_site_fract_y
_atom_site_fract_z
_atom_site_occupancy
Pr1 0.053 0.041 0.253 1
Nd1 0.500 0.500 0.000 1
Ru1 0.500 0.500 0.500 1
O1 0.120 0.232 0.980 1
O2 0.179 0.304 0.534 1
O3 0.330 0.681 0.302 1
O4 0.402 0.745 0.711 1
```

**Density of states at the Fermi level**: 2.8 states/eV/f.u.
**Energy relative to the elements, uncorrected**: -2.229 eV/atom
**Mass density**: 6.0 g/cm3

=====

2.
Density functional theory data (PBE-GGA) for an optimized crystal structure of PrNdSbO2.

CIF file:
```
data_PrNdSbO2
_cell_length_a 4.016
_cell_length_b 4.016
_cell_length_c 13.898
_cell_angle_alpha 90.00
_cell_angle_beta 90.00
_cell_angle_gamma 90.00
_symmetry_space_group_name_H-M 'I 4 m m'
_symmetry_Int_Tables_number 107
_symmetry_space_group_name_Hall 'I 4 -2'
loop_
_atom_site_label
_atom_site_fract_x
_atom_site_fract_y
_atom_site_fract_z
_atom_site_occupancy
Pr1 0.000 0.000 0.000 1
Nd1 0.000 0.000 0.327 1
Sb1 0.000 0.000 0.664 1
O1 0.000 0.500 0.412 1
```

**Density of states at the Fermi level**: 1.9 states/eV/f.u.
**Energy relative to the elements, uncorrected**: -2.574 eV/atom
**Mass density**: 6.5 g/cm3

=====

3.
Density functional theory data (PBE-GGA) for an optimized crystal structure of Pr2NdScO6.

CIF file:
```
data_Pr2NdScO6
_cell_length_a 5.807
_cell_length_b 6.061
_cell_length_c 10.250
_cell_angle_alpha 90.00
_cell_angle_beta 123.65
_cell_angle_gamma 90.00
_symmetry_space_group_name_H-M 'P 1 21/c 1'
_symmetry_Int_Tables_number 14
loop_
_symmetry_equiv_pos_as_xyz
'x,y,z'
'-x,-y,-z'
'-x,y+1/2,-z+1/2'
'x,-y+1/2,z+1/2'
loop_
_atom_site_label
_atom_site_fract_x
_atom_site_fract_y
_atom_site_fract_z
_atom_site_occupancy
Pr1 0.230 0.054 0.251 1
Nd1 0.500 0.000 0.000 1
Sc1 0.000 0.000 0.500 1
O1 0.104 0.209 0.924 1
O2 0.222 0.685 0.931 1
O3 0.370 0.063 0.736 1
```

**Density of states at the Fermi level**: 0.0 states/eV/f.u.
**Energy relative to the elements, uncorrected**: -3.325 eV/atom
**Mass density**: 6.3 g/cm3

=====

4.
Density functional theory data (PBE-GGA) for an optimized crystal structure of Pr4Nd2Sn3O2.

CIF file:
```
data_Pr4Nd2Sn3O2
_cell_length_a 4.861
_cell_length_b 4.861
_cell_length_c 26.109
_cell_angle_alpha 90.00
_cell_angle_beta 90.00
_cell_angle_gamma 90.00
_symmetry_space_group_name_H-M 'I 4/m m m'
_symmetry_Int_Tables_number 139
_symmetry_space_group_name_Hall '-I 4 2'
loop_
_atom_site_label
_atom_site_fract_x
_atom_site_fract_y
_atom_site_fract_z
_atom_site_occupancy
Pr1 0.000 0.500 0.083 1
Nd1 0.000 0.000 0.195 1
Sn1 0.000 0.000 0.322 1
Sn2 0.000 0.000 0.500 1
O1 0.000 0.000 0.102 1
```

**Density of states at the Fermi level**: 5.2 states/eV/f.u.
**Energy relative to the elements, uncorrected**: -1.454 eV/atom
**Mass density**: 6.7 g/cm3

=====

5.
Density functional theory data (PBE-GGA) for an optimized crystal structure of Pr2Nd4Sn3O2.

CIF file:
```
data_Pr2Nd4Sn3O2
_cell_length_a 4.832
_cell_length_b 4.832
_cell_length_c 26.112
_cell_angle_alpha 90.00
_cell_angle_beta 90.00
_cell_angle_gamma 90.00
_symmetry_space_group_name_H-M 'I 4/m m m'
_symmetry_Int_Tables_number 139
_symmetry_space_group_name_Hall '-I 4 2'
loop_
_atom_site_label
_atom_site_fract_x
_atom_site_fract_y
_atom_site_fract_z
_atom_site_occupancy
Pr1 0.000 0.000 0.195 1
Nd1 0.000 0.500 0.082 1
Sn1 0.000 0.000 0.323 1
Sn2 0.000 0.000 0.500 1
O1 0.000 0.000 0.100 1
```

**Density of states at the Fermi level**: 6.1 states/eV/f.u.
**Energy relative to the elements, uncorrected**: -1.474 eV/atom
**Mass density**: 6.8 g/cm3

=====

6.
Density functional theory data (PBE-GGA) for an optimized crystal structure of PrNd2TcO8.

CIF file:
```
data_PrNd2TcO8
_cell_length_a 7.373
_cell_length_b 7.387
_cell_length_c 7.019
_cell_angle_alpha 90.00
_cell_angle_beta 90.00
_cell_angle_gamma 90.00
_symmetry_space_group_name_H-M 'C m m m'
_symmetry_Int_Tables_number 65
_symmetry_space_group_name_Hall '-C 2 2'
loop_
_atom_site_label
_atom_site_fract_x
_atom_site_fract_y
_atom_site_fract_z
_atom_site_occupancy
Pr1 0.000 0.000 0.000 1
Nd1 0.000 0.500 0.253 1
Tc1 0.000 0.000 0.500 1
O1 0.000 0.256 0.500 1
O2 0.000 0.311 0.000 1
O3 0.178 0.000 0.300 1
```

**Energy relative to the elements, uncorrected**: -2.496 eV/atom
**Mass density**: 5.7 g/cm3

=====

Total magnetic moment per entry: 1.0, 0.0, 0.0, 0.0, 0.0, 0.0 μB/f.u.